Pm2ErSnC, optimized geometry, DFT GGA-PBE; energy relative to the elements = -0.550 eV/atom; total magnetic moment = 0.00 Bohr magnetons per cell; calculated volume = 24.89 A^3/atom; crystal system = tetragonal
1.0
-2.9514 -3.8512 0.0932
3.2827 -2.5849 -2.8604
2.3196 -1.6766 4.1771
Pm Er Sn C
2 1 1 1
direct
0.0000 0.0000 0.5000
0.0000 0.5000 0.0000
0.5000 0.0000 0.0000
0.5000 0.5000 0.5000
0.0000 0.0000 0.0000

P2Br, optimized geometry, DFT GGA-PBE; uncorrected formation energy = 1.21 eV per formula unit; total magnetic moment = 0.00 Bohr magnetons per cell; calculated volume = 36.32 A^3/atom; crystal system = hexagonal
1.0
-8.7824 2.2457 6.1629
-0.4971 -7.9070 -7.5755
0.9576 -2.1012 2.1303
Br P
3 6
direct
0.3333 0.6667 0.0000
0.0000 0.0000 0.5000
0.6667 0.3333 0.0000
0.0000 0.2588 0.0000
0.6146 0.6146 0.5000
0.2588 0.0000 0.0000
0.7412 0.7412 0.0000
0.0000 0.3854 0.5000
0.3854 0.0000 0.5000